1.
Compound: SiPd3Au
Source: Alexandria via LeMat-Bulk
Functional: PBE-GGA
Structure: optimized geometry

Cell lengths 4.7870, 6.0968, 5.7010 Å; angles 90.00, 90.00, 90.00 degrees
Closest atoms and distances in Å follow each position.
Atoms (fractional coordinates):
1 Pd 0.4329 0.9179 0.9481  2 Si 2.37-2.40
2 Pd 0.9254 0.0302 0.7009  1 Si 2.33
3 Pd 0.4254 0.3226 0.2007  1 Si 2.33
4 Pd 0.9329 0.4349 0.9535  2 Si 2.37-2.40
5 Pd 0.4328 0.9181 0.4534  2 Si 2.37-2.40
6 Pd 0.9329 0.4347 0.4481  2 Si 2.36-2.40
7 Au 0.9370 0.0153 0.2007  1 Si 2.56, 4 Pd 2.84-2.85
8 Au 0.4370 0.3374 0.7008  1 Si 2.56, 4 Pd 2.84-2.85
9 Si 0.6500 0.6619 0.2009  5 Pd 2.33-2.40, 1 Au 2.56
10 Si 0.1500 0.6909 0.7007  5 Pd 2.33-2.40, 1 Au 2.56

Summary:
total DFT energy (no corrections): -5.137 eV/atom
V: 166 Å³/cell
energy relative to the elements, uncorrected: -0.282 eV per atom
M_tot: 0.00 μB/cell

2.
Compound: La2Ho4TmSc
Source: Alexandria via LeMat-Bulk
Functional: PBE-GGA
Structure: optimized geometry

Cell lengths 9.2697, 9.2697, 11.9635 Å; angles 128.51, 128.51, 87.77 degrees
Closest atoms and distances in Å follow each position.
Atoms (fractional coordinates):
1 La 0.5000 0.5000 0.0000  4 Ho 3.35-3.37, 2 La 3.37
2 La 0.0000 0.0000 0.5000  4 Ho 3.35-3.37, 2 La 3.37
3 La 0.5000 0.0000 0.0000  6 Ho 3.37-3.53, 2 Tm 3.37
4 La 0.5000 0.0000 0.5000  6 Ho 3.37-3.53, 2 Tm 3.37
5 Ho 0.6611 0.6432 0.8801  1 Sc 2.97, 1 Tm 3.18
6 Ho 0.7664 0.2426 0.0033  1 Sc 3.06, 1 Ho 3.31, 1 Tm 3.32, 2 La 3.37
7 Ho 0.2336 0.7574 0.9967  1 Sc 3.06, 1 Ho 3.31, 1 Tm 3.32, 2 La 3.37
8 Ho 0.3389 0.3568 0.1199  1 Sc 2.97, 1 Tm 3.18
9 Ho 0.1432 0.1611 0.3801  1 Sc 2.97, 1 Tm 3.18
10 Ho 0.7426 0.2664 0.5033  1 Sc 3.06, 1 Ho 3.31, 1 Tm 3.32, 2 La 3.37
11 Ho 0.8568 0.8389 0.6199  1 Sc 2.97, 1 Tm 3.18
12 Ho 0.2574 0.7336 0.4967  1 Sc 3.06, 1 Ho 3.31, 1 Tm 3.32, 2 La 3.37
13 Tm 0.0000 0.5000 0.0000  6 Ho 3.18-3.52, 2 La 3.37
14 Tm 0.0000 0.5000 0.5000  6 Ho 3.18-3.52, 2 La 3.37
15 Sc 0.0000 0.0000 0.0000  4 Ho 2.97-3.06
16 Sc 0.5000 0.5000 0.5000  4 Ho 2.97-3.06

Summary:
total DFT energy (no corrections): -4.452 eV/atom
formation energy: 0.419 eV/atom
V: 517 Å³/cell
M_tot: 0.06 μB/cell

3.
Compound: MnIrAu3
Source: Alexandria via LeMat-Bulk
Functional: PBE-GGA
Structure: optimized geometry

Cell lengths 4.6564, 4.6564, 4.6564 Å; angles 90.00, 90.00, 90.00 degrees
Closest atoms and distances in Å follow each position.
Atoms (fractional coordinates):
1 Au 0.5000 0.0000 0.0000  2 Mn 2.33
2 Au 0.0000 0.0000 0.5000  2 Mn 2.33
3 Au 0.0000 0.5000 0.0000  2 Mn 2.33
4 Ir 0.5000 0.5000 0.5000  12 Au 3.29
5 Mn 0.0000 0.0000 0.0000  6 Au 2.33

Summary:
total DFT energy (no corrections): -3.893 eV/atom
formation energy: 1.680 eV/atom
V: 101 Å³/cell
M_tot: 0.07 μB/cell

- What is the formula in the second record?
  La2Ho4TmSc

- M_tot of number 3 (MnIrAu3)?
  0.07 μB/cell

- Which value of M_tot does entry 3 give?
  0.07 μB/cell